Record 1
## Rb2LaPdBr6 (PBE)

Data for a relaxed Rb2LaPdBr6 crystal.

Output
As for the total magnetic moment: 2.00 Bohr magnetons per cell. Its volume is 36.9 Å³ per atom. The calculation puts the formation energy (no corrections) at -1.434 eV/atom.

Cell: 8.127 8.127 11.174 Å, 90.00 90.00 90.00°
Space group I4/mmm (No. 139)
One atom of each set of equivalent atoms:
Rb1 0.000 0.500 0.250 x4
La1 0.000 0.000 0.000 x2
Pd1 0.000 0.000 0.500 x2
Br1 0.000 0.000 0.261 x4
Br2 0.246 0.246 0.500 x8

---

Record 2
## KMg2ZnNi (PBE)

Data for a relaxed KMg2ZnNi crystal.

Output
The value obtained for the raw total energy is -2.240 eV per atom. As for the total magnetic moment: 0.00 Bohr magnetons per cell. Its volume is 24.1 Å³ per atom.

Cell: 5.001 5.001 4.824 Å, 90.00 90.00 90.00°
Space group P4/mmm (No. 123)
One atom of each set of equivalent atoms:
K1 0.000 0.000 0.000 x1
Mg1 0.000 0.500 0.500 x2
Zn1 0.500 0.500 0.000 x1
Ni1 0.500 0.500 0.500 x1

---

Record 3
## TeP2 (PBE)

Data for a relaxed TeP2 crystal.

Output
As for the total magnetic moment: 0.00 Bohr magnetons per cell. Its volume is 25.7 Å³ per atom. The calculation puts the formation energy (no corrections) at 0.105 eV/atom.

Cell: 11.340 3.214 9.824 Å, 90.00 120.43 90.00°
Space group C2/m (No. 12)
One atom of each set of equivalent atoms:
Te1 0.002 0.000 0.321 x4
P1 0.115 0.500 0.054 x4
P2 0.179 0.000 0.233 x4

---

Record 4
## BaSbTeN2 (PBE)

Data for a relaxed BaSbTeN2 crystal.

Output
For the energy above the most stable polymorph in this dataset, the calculation gives 0.971 eV per atom. As for the total magnetic moment: 0.00 Bohr magnetons per cell. Its volume is 28.6 Å³ per atom. The calculation puts the formation energy (no corrections) at 1.562 eV/atom.

Cell: 4.539 4.539 6.930 Å, 90.00 90.00 90.00°
Space group P4/mmm (No. 123)
One atom of each set of equivalent atoms:
Ba1 0.000 0.000 0.000 x1
Sb1 0.500 0.500 0.500 x1
Te1 0.000 0.000 0.500 x1
N1 0.000 0.500 0.000 x2

---

Record 5
## Cs2ScTi (PBE)

Data for a relaxed Cs2ScTi crystal.

Output
The value obtained for the raw total energy is -2.548 eV per atom. As for the total magnetic moment: 20.17 Bohr magnetons per cell. Its volume is 46.3 Å³ per atom.

Cell: 9.046 9.046 9.046 Å, 90.00 90.00 90.00°
Space group Fm-3m (No. 225)
One atom of each set of equivalent atoms:
Cs1 0.250 0.250 0.250 x8
Sc1 0.000 0.000 0.000 x4
Ti1 0.000 0.000 0.500 x4

---

Record 6
## PmTm14Sc (PBE)

Data for a relaxed PmTm14Sc crystal.

Output
The value obtained for the raw total energy is -4.533 eV per atom. As for the total magnetic moment: 0.01 Bohr magnetons per cell. Its volume is 30.1 Å³ per atom.

Cell: 10.878 8.109 10.933 Å, 90.00 90.00 90.00°
Space group Amm2 (No. 38)
One atom of each set of equivalent atoms:
Pm1 0.000 0.000 0.000 x2
Tm1 0.000 0.204 0.715 x4
Tm2 0.232 0.000 0.208 x4
Tm3 0.249 0.211 0.927 x8
Tm4 0.269 0.000 0.647 x4
Tm5 0.500 0.000 0.412 x2
Tm6 0.500 0.000 0.859 x2
Tm7 0.500 0.205 0.139 x4
Sc1 0.000 0.000 0.440 x2

---

Record 7
## Ac5Nd2SmY (PBE)

Data for a relaxed Ac5Nd2SmY crystal.

Output
The value obtained for the raw total energy is -4.452 eV per atom. As for the total magnetic moment: 0.00 Bohr magnetons per cell. Its volume is 41.0 Å³ per atom.

Cell: 5.859 22.670 11.120 Å, 90.00 90.00 90.00°
Space group Cmcm (No. 63)
One atom of each set of equivalent atoms:
Ac1 0.000 0.000 0.000 x4
Ac2 0.000 0.130 0.250 x4
Ac3 0.000 0.219 0.564 x8
Ac4 0.000 0.497 0.250 x4
Nd1 0.000 0.387 0.508 x8
Sm1 0.000 0.304 0.250 x4
Y1 0.000 0.099 0.750 x4

---

Record 8
## Nd2Ho6Al (PBE)

Data for a relaxed Nd2Ho6Al crystal.

Output
The value obtained for the raw total energy is -4.453 eV per atom. As for the total magnetic moment: 0.00 Bohr magnetons per cell. Its volume is 31.6 Å³ per atom.

Cell: 17.342 9.374 3.496 Å, 90.00 90.13 90.00°
Space group C2/m (No. 12)
One atom of each set of equivalent atoms:
Nd1 0.177 0.000 0.498 x4
Ho1 0.000 0.218 0.500 x4
Ho2 0.161 0.328 0.999 x8
Al1 0.000 0.500 0.000 x2

---

Record 9
## Tb2Dy5YEr (PBE)

Data for a relaxed Tb2Dy5YEr crystal.

Output
The value obtained for the raw total energy is -4.512 eV per atom. As for the total magnetic moment: 0.00 Bohr magnetons per cell. Its volume is 32.1 Å³ per atom.

Cell: 8.702 8.702 15.240 Å, 90.00 90.00 90.00°
Space group I4/mcm (No. 140)
One atom of each set of equivalent atoms:
Tb1 0.116 0.384 0.000 x8
Dy1 0.000 0.000 0.000 x4
Dy2 0.208 0.292 0.363 x16
Y1 0.000 0.000 0.250 x4
Er1 0.000 0.500 0.250 x4

---

Record 10
## NiSb5 (PBE)

Data for a relaxed NiSb5 crystal.

Output
For the energy above the most stable polymorph in this dataset, the calculation gives 0.070 eV per atom. As for the total magnetic moment: 0.00 Bohr magnetons per cell. Its volume is 28.5 Å³ per atom. The calculation puts the formation energy (no corrections) at 0.106 eV/atom.

Cell: 12.832 3.754 7.122 Å, 90.00 93.36 90.00°
Space group Cm (No. 8)
One atom of each set of equivalent atoms:
Ni1 0.000 0.000 0.000 x2
Sb1 0.001 0.000 0.617 x2
Sb2 0.114 0.500 0.231 x2
Sb3 0.144 0.500 0.837 x2
Sb4 0.356 0.000 0.813 x2
Sb5 0.392 0.000 0.212 x2

---

Record 11
## AlTl2SbSe4 (PBE)

Data for a relaxed AlTl2SbSe4 crystal.

Output
As for the total magnetic moment: 0.00 Bohr magnetons per cell. Its volume is 33.7 Å³ per atom. The calculation puts the formation energy (no corrections) at -0.464 eV/atom.

Cell: 9.471 8.847 6.429 Å, 90.00 90.00 90.00°
Space group Pmn2_1 (No. 31)
One atom of each set of equivalent atoms:
Al1 0.000 0.104 0.000 x2
Tl1 0.218 0.350 0.445 x4
Sb1 0.000 0.802 0.477 x2
Se1 0.000 0.084 0.381 x2
Se2 0.000 0.838 0.891 x2
Se3 0.202 0.258 0.923 x4

---

Record 12
## AcPa4Nb3N12 (PBE)

Data for a relaxed AcPa4Nb3N12 crystal.

Output
As for the total magnetic moment: 4.07 Bohr magnetons per cell. Its volume is 14.7 Å³ per atom. The calculation puts the formation energy (no corrections) at -1.057 eV/atom.

Cell: 8.371 8.371 8.371 Å, 90.00 90.00 90.00°
Space group Im-3 (No. 204)
One atom of each set of equivalent atoms:
Ac1 0.000 0.000 0.000 x2
Pa1 0.250 0.250 0.250 x8
Nb1 0.000 0.000 0.500 x6
N1 0.000 0.315 0.166 x24